# MgZnTe2 | Alexandria | PBE | relaxed
# Calculated volume (Å³ per atom): 37.23
# Total magnetization (μB/f.u.): 0.00
# Total energy (Ha/atom): -0.10526
# DOS at the Fermi energy (states/eV/cell): 0.0
data_MgZnTe2
_chemical_formula_sum 'Mg4 Zn4 Te8'
_cell_length_a 11.372
_cell_length_b 4.498
_cell_length_c 11.647
_cell_angle_alpha 90.00
_cell_angle_beta 90.00
_cell_angle_gamma 90.00
_space_group_name_H-M_alt 'P 1'
_space_group_IT_number 1
loop_
_space_group_symop_operation_xyz
'x,y,z'
loop_
_atom_site_label
_atom_site_type_symbol
_atom_site_fract_x
_atom_site_fract_y
_atom_site_fract_z
Zn1 Zn 0.884 0.750 0.951
Zn2 Zn 0.384 0.750 0.549
Zn3 Zn 0.616 0.250 0.451
Zn4 Zn 0.116 0.250 0.049
Te1 Te 0.848 0.250 0.462
Te2 Te 0.976 0.250 0.858
Te3 Te 0.652 0.750 0.962
Te4 Te 0.348 0.250 0.038
Te5 Te 0.476 0.250 0.642
Te6 Te 0.524 0.750 0.358
Te7 Te 0.024 0.750 0.142
Te8 Te 0.152 0.750 0.538
Mg1 Mg 0.537 0.250 0.874
Mg2 Mg 0.463 0.750 0.126
Mg3 Mg 0.963 0.750 0.374
Mg4 Mg 0.037 0.250 0.626